The following is a PBE calculation of a relaxed structure of Pm3PrAl3, from Alexandria via LeMat-Bulk.

Structure (POSCAR):
```
Pm3PrAl3
1.0
9.290 0.000 0.000
0.000 9.290 0.000
0.000 0.000 9.290
Pm Pr Al
12 4 12
Direct
0.076 0.424 0.576 Pm
0.176 0.176 0.176 Pm
0.177 0.823 0.323 Pm
0.323 0.177 0.823 Pm
0.324 0.824 0.676 Pm
0.424 0.576 0.076 Pm
0.576 0.076 0.424 Pm
0.676 0.324 0.824 Pm
0.677 0.677 0.677 Pm
0.823 0.323 0.177 Pm
0.824 0.676 0.324 Pm
0.924 0.924 0.924 Pm
0.074 0.574 0.926 Pr
0.426 0.426 0.426 Pr
0.574 0.926 0.074 Pr
0.926 0.074 0.574 Pr
0.001 0.748 0.622 Al
0.122 0.499 0.252 Al
0.248 0.878 0.999 Al
0.252 0.122 0.499 Al
0.378 0.501 0.752 Al
0.499 0.252 0.122 Al
0.501 0.752 0.378 Al
0.622 0.001 0.748 Al
0.748 0.622 0.001 Al
0.752 0.378 0.501 Al
0.878 0.999 0.248 Al
0.999 0.248 0.878 Al
```

Summary:
crystal system: cubic
SG: P2_13 (198)
total magnetization: 0.0 Bohr magnetons per cell
uncorrected energy: -126.3 eV for the cell shown
calculated volume: 28.6 A^3/atom